Entry from Alexandria via LeMat-Bulk: a relaxed structure of Pm8NdIn2 (PBE).

abc: 9.337 9.337 6.232
angles: 102.03 102.03 42.58
Atoms (fractional coordinates):
Pm  0.002  0.002  0.240
Pm  0.066  0.588  0.390
Pm  0.363  0.363  0.923
Pm  0.412  0.934  0.610
Pm  0.588  0.066  0.390
Pm  0.637  0.637  0.077
Pm  0.934  0.412  0.610
Pm  0.998  0.998  0.760
Nd  0.500  0.500  0.500
In  0.179  0.179  0.104
In  0.821  0.821  0.896

Its volume is 32.571 Å³ per atom. The space group is C2/m. The density of states at the Fermi level is 1.25 states/eV per atom. The value obtained for the calculated formation energy is -1.0 eV/f.u.